PmHg5Pd: relaxed, PBE.

a b c (Å): 4.8697 4.8697 7.2265
angles (deg): 90.00 90.00 90.00
Element x y z (fractional)
1 Pm 0.0000 0.0000 0.0000
2 Hg 0.0000 0.5000 0.2935
3 Hg 0.0000 0.5000 0.7065
4 Hg 0.5000 0.0000 0.2935
5 Hg 0.5000 0.0000 0.7065
6 Hg 0.5000 0.5000 0.0000
7 Pd 0.0000 0.0000 0.5000

energy of formation	-0.301	eV per atom
total DFT energy (no corrections)	-1.937	eV per atom
V	171.37	Å³ per cell
space group	No. 123